Here is crystalline Ho5Tm4Zr2 at its relaxed geometry from Alexandria via LeMat-Bulk. Energies are from PBE-GGA.

Results
**Volume**: 326.48 Å³ per cell
**Spin magnetization**: 0.00 μB per cell
**Formation enthalpy at 0 K**: 0.100 eV per atom

```
Ho5Tm4Zr2
1.0
-3.267 0.848 -0.581
-0.661 -6.398 -5.623
-3.180 -6.335 8.645
Ho Tm Zr
5 4 2
direct
0.000 0.577 0.298 Ho
0.000 0.190 0.167 Ho
0.000 0.500 0.000 Ho
0.000 0.810 0.833 Ho
0.000 0.423 0.702 Ho
0.500 0.730 0.552 Tm
0.500 0.159 0.880 Tm
0.500 0.270 0.448 Tm
0.500 0.841 0.120 Tm
0.000 0.053 0.631 Zr
0.000 0.947 0.369 Zr
```